Material: LaGdPb2
Method: DFT, GGA-PBE
State: optimized geometry

Summary:
Total magnetic moment in μB/f.u.: 7.94
Calculated density in Mg/m³: 9.738
Raw total energy in eV per atom: -7.15
D(E_F) in states/eV/f.u.: 4.2
Formation enthalpy at 0 K in eV/atom: -0.5390

a = 5.1325 Å, b = 5.1325 Å, c = 4.5995 Å
α = 90.00°, β = 90.00°, γ = 90.00°
Space group P4/mmm (No. 123)
One atom of each set of equivalent atoms:
1 La 0.0000 0.0000 0.0000 [1 per cell]
2 Gd 0.5000 0.5000 0.0000 [1 per cell]
3 Pb 0.0000 0.5000 0.5000 [2 per cell]

---

Material: La2GdPb
Method: DFT, GGA-PBE
State: optimized geometry

Summary:
Total magnetic moment in μB/f.u.: 7.74
Calculated density in Mg/m³: 8.047
Raw total energy in eV per atom: -7.20
Relative energy among the computed polymorphs in eV per atom: 0.073
D(E_F) in states/eV/f.u.: 5.0
Formation enthalpy at 0 K in eV/atom: -0.2926

a = 4.3671 Å, b = 4.3671 Å, c = 6.9494 Å
α = 90.00°, β = 90.00°, γ = 90.00°
Space group P4/mmm (No. 123)
One atom of each set of equivalent atoms:
1 La 0.0000 0.0000 0.2297 [2 per cell]
2 Gd 0.5000 0.5000 0.5000 [1 per cell]
3 Pb 0.5000 0.5000 0.0000 [1 per cell]

---

Material: LaGdPdPb
Method: DFT, GGA-PBE
State: optimized geometry

Summary:
Total magnetic moment in μB/f.u.: 7.20
Calculated density in Mg/m³: 9.243
Raw total energy in eV per atom: -7.58
D(E_F) in states/eV/f.u.: 3.4
Formation enthalpy at 0 K in eV/atom: -0.6034

a = 7.5956 Å, b = 7.5956 Å, c = 7.5956 Å
α = 90.00°, β = 90.00°, γ = 90.00°
Space group F-43m (No. 216)
One atom of each set of equivalent atoms:
1 La 0.0000 0.0000 0.0000 [4 per cell]
2 Gd 0.0000 0.0000 0.5000 [4 per cell]
3 Pd 0.2500 0.2500 0.2500 [4 per cell]
4 Pb 0.2500 0.2500 0.7500 [4 per cell]

---

Material: LaPmGdPb
Method: DFT, GGA-PBE
State: optimized geometry

Summary:
Total magnetic moment in μB/f.u.: 8.17
Calculated density in Mg/m³: 8.519
Raw total energy in eV per atom: -7.07
D(E_F) in states/eV/f.u.: 5.5
Formation enthalpy at 0 K in eV/atom: -0.2004

a = 7.9660 Å, b = 7.9660 Å, c = 7.9660 Å
α = 90.00°, β = 90.00°, γ = 90.00°
Space group F-43m (No. 216)
One atom of each set of equivalent atoms:
1 La 0.0000 0.0000 0.0000 [4 per cell]
2 Pm 0.0000 0.0000 0.5000 [4 per cell]
3 Gd 0.2500 0.2500 0.2500 [4 per cell]
4 Pb 0.2500 0.2500 0.7500 [4 per cell]

---

Material: LaPrGdPb
Method: DFT, GGA-PBE
State: optimized geometry

Summary:
Total magnetic moment in μB/f.u.: 8.19
Calculated density in Mg/m³: 8.322
Raw total energy in eV per atom: -7.08
D(E_F) in states/eV/f.u.: 5.7
Formation enthalpy at 0 K in eV/atom: -0.2061

a = 8.0117 Å, b = 8.0117 Å, c = 8.0117 Å
α = 90.00°, β = 90.00°, γ = 90.00°
Space group F-43m (No. 216)
One atom of each set of equivalent atoms:
1 La 0.0000 0.0000 0.0000 [4 per cell]
2 Pr 0.0000 0.0000 0.5000 [4 per cell]
3 Gd 0.2500 0.2500 0.2500 [4 per cell]
4 Pb 0.2500 0.2500 0.7500 [4 per cell]

---

Material: LaGdPtPb
Method: DFT, GGA-PBE
State: optimized geometry

Summary:
Total magnetic moment in μB/f.u.: 7.11
Calculated density in Mg/m³: 10.743
Raw total energy in eV per atom: -7.90
D(E_F) in states/eV/f.u.: 3.1
Formation enthalpy at 0 K in eV/atom: -0.7140

a = 7.5585 Å, b = 7.5585 Å, c = 7.5585 Å
α = 90.00°, β = 90.00°, γ = 90.00°
Space group F-43m (No. 216)
One atom of each set of equivalent atoms:
1 La 0.0000 0.0000 0.0000 [4 per cell]
2 Gd 0.0000 0.0000 0.5000 [4 per cell]
3 Pt 0.2500 0.2500 0.7500 [4 per cell]
4 Pb 0.2500 0.2500 0.2500 [4 per cell]

---

Material: LaGdPuPb
Method: DFT, GGA-PBE
State: optimized geometry

Summary:
Total magnetic moment in μB/f.u.: 0.90
Calculated density in Mg/m³: 10.331
Raw total energy in eV per atom: -9.34
D(E_F) in states/eV/f.u.: 17.1
Formation enthalpy at 0 K in eV/atom: -0.0826

a = 7.8325 Å, b = 7.8325 Å, c = 7.8325 Å
α = 90.00°, β = 90.00°, γ = 90.00°
Space group F-43m (No. 216)
One atom of each set of equivalent atoms:
1 La 0.0000 0.0000 0.0000 [4 per cell]
2 Gd 0.0000 0.0000 0.5000 [4 per cell]
3 Pu 0.2500 0.2500 0.2500 [4 per cell]
4 Pb 0.2500 0.2500 0.7500 [4 per cell]

---

Material: LaSmGdPb
Method: DFT, GGA-PBE
State: optimized geometry

Summary:
Total magnetic moment in μB/f.u.: 8.16
Calculated density in Mg/m³: 8.644
Raw total energy in eV per atom: -7.05
D(E_F) in states/eV/f.u.: 5.4
Formation enthalpy at 0 K in eV/atom: -0.1955

a = 7.9491 Å, b = 7.9491 Å, c = 7.9491 Å
α = 90.00°, β = 90.00°, γ = 90.00°
Space group F-43m (No. 216)
One atom of each set of equivalent atoms:
1 La 0.0000 0.0000 0.0000 [4 per cell]
2 Sm 0.0000 0.0000 0.5000 [4 per cell]
3 Gd 0.2500 0.2500 0.7500 [4 per cell]
4 Pb 0.2500 0.2500 0.2500 [4 per cell]

---

Material: LaGdSnPb
Method: DFT, GGA-PBE
State: optimized geometry

Summary:
Total magnetic moment in μB/f.u.: 7.32
Calculated density in Mg/m³: 8.570
Raw total energy in eV per atom: -7.23
D(E_F) in states/eV/f.u.: 5.4
Formation enthalpy at 0 K in eV/atom: -0.5472

a = 7.8412 Å, b = 7.8412 Å, c = 7.8412 Å
α = 90.00°, β = 90.00°, γ = 90.00°
Space group F-43m (No. 216)
One atom of each set of equivalent atoms:
1 La 0.0000 0.0000 0.0000 [4 per cell]
2 Gd 0.0000 0.0000 0.5000 [4 per cell]
3 Sn 0.2500 0.2500 0.2500 [4 per cell]
4 Pb 0.2500 0.2500 0.7500 [4 per cell]

---

Material: LaGdTePb
Method: DFT, GGA-PBE
State: optimized geometry

Summary:
Energy relative to the elements, uncorrected in eV per atom: -0.83
Total magnetic moment in μB/f.u.: 7.31
Calculated density in Mg/m³: 8.651
Raw total energy in eV per atom: -7.30
D(E_F) in states/eV/f.u.: 3.5

a = 7.8537 Å, b = 7.8537 Å, c = 7.8537 Å
α = 90.00°, β = 90.00°, γ = 90.00°
Space group F-43m (No. 216)
One atom of each set of equivalent atoms:
1 La 0.0000 0.0000 0.0000 [4 per cell]
2 Gd 0.0000 0.0000 0.5000 [4 per cell]
3 Te 0.2500 0.2500 0.7500 [4 per cell]
4 Pb 0.2500 0.2500 0.2500 [4 per cell]

---

Material: LaGdZnPb
Method: DFT, GGA-PBE
State: optimized geometry

Summary:
Total magnetic moment in μB/f.u.: 7.30
Calculated density in Mg/m³: 8.416
Raw total energy in eV per atom: -6.41
D(E_F) in states/eV/f.u.: 3.9
Formation enthalpy at 0 K in eV/atom: -0.4172

a = 7.6567 Å, b = 7.6567 Å, c = 7.6567 Å
α = 90.00°, β = 90.00°, γ = 90.00°
Space group F-43m (No. 216)
One atom of each set of equivalent atoms:
1 La 0.0000 0.0000 0.0000 [4 per cell]
2 Gd 0.0000 0.0000 0.5000 [4 per cell]
3 Zn 0.2500 0.2500 0.7500 [4 per cell]
4 Pb 0.2500 0.2500 0.2500 [4 per cell]

---

Material: LaGd3Pd
Method: DFT, GGA-PBE
State: optimized geometry

Summary:
Total magnetic moment in μB/f.u.: 22.62
Calculated density in Mg/m³: 6.958
Raw total energy in eV per atom: -10.64
D(E_F) in states/eV/f.u.: 8.2
Formation enthalpy at 0 K in eV/atom: -0.1720

a = 5.5519 Å, b = 5.5519 Å, c = 5.5519 Å
α = 90.00°, β = 90.00°, γ = 90.00°
Space group Pm-3m (No. 221)
One atom of each set of equivalent atoms:
1 La 0.0000 0.0000 0.0000 [1 per cell]
2 Gd 0.0000 0.5000 0.5000 [3 per cell]
3 Pd 0.5000 0.5000 0.5000 [1 per cell]

---

Among the records above, which one has the lowest D(E_F)?
LaGdPtPb

---

What is the total magnetic moment in the third record?
7.20 μB/f.u.